# Li2H4S3O12 (PBE-GGA, relaxed)
# * energy: -5.66 eV per atom
# * V: 1075.3 Å³/cell
data_Li2H4S3O12
_chemical_formula_sum 'Li8 H16 S12 O48'
_space_group_name_H-M_alt 'P c c n'
_space_group_IT_number 56
_cell_length_a 5.4528
_cell_length_b 17.8975
_cell_length_c 11.0183
_cell_angle_alpha 90.00
_cell_angle_beta 90.00
_cell_angle_gamma 90.00
loop_
_space_group_symop_operation_xyz
'x,y,z'
'-x,-y,-z'
'-x+1/2,-y+1/2,z'
'x+1/2,y+1/2,-z'
'x+1/2,-y,-z+1/2'
'-x+1/2,y,z+1/2'
'-x,y+1/2,-z+1/2'
'x,-y+1/2,z+1/2'
loop_
_atom_site_label
_atom_site_type_symbol
_atom_site_fract_x
_atom_site_fract_y
_atom_site_fract_z
Li1 Li 0.2402 0.0982 0.0138
H1 H 0.0096 0.1931 0.3185
H2 H 0.0898 0.5506 0.8099
S1 S 0.2175 0.5638 0.1392
S2 S 0.2500 0.2500 0.1924
O1 O 0.0101 0.6145 0.1118
O2 O 0.0239 0.2443 0.2780
O3 O 0.0591 0.5820 0.5746
O4 O 0.1441 0.0152 0.6210
O5 O 0.2181 0.1817 0.6254
O6 O 0.2444 0.5761 0.7785